[1]
DFT (PBE) results for a geometry-optimized Cs2PuBO6 structure.

Output
SG: P-3m1, No. 164
Formation energy without anion corrections (eV per atom): -1.792
DFT total energy (eV per atom): -7.038

The structure in extended XYZ format:
```
10
Lattice="6.6130 0.0000 0.0000 -3.3065 5.7270 0.0000 0.0000 0.0000 4.9284" Properties=species:S:1:pos:R:3 pbc="T T T"
Cs 0.0000 3.8180 0.9533
Cs 3.3065 1.9090 3.9751
Pu 0.0000 0.0000 2.4642
B 0.0000 0.0000 0.0000
O 0.0000 1.4281 3.8802
O -2.0698 5.0130 3.8802
O 1.2367 0.7140 1.0482
O 2.0698 5.0130 3.8802
O 5.3763 0.7140 1.0482
O 3.3065 4.2990 1.0482
```

[2]
DFT (PBE) results for a geometry-optimized Cs2PuB2O6 structure.

Output
SG: R-3m, No. 166
Formation energy without anion corrections (eV per atom): -2.453
N(E_F) (states/eV/f.u.): 3.4
DFT total energy (eV per atom): -7.830

The structure in extended XYZ format:
```
11
Lattice="2.8014 1.6174 7.1073 -2.8014 1.6174 7.1073 0.0000 -3.2348 7.1073" Properties=species:S:1:pos:R:3 pbc="T T T"
Cs 0.0000 0.0000 4.5872
Cs 0.0000 0.0000 16.7346
Pu 0.0000 0.0000 0.0000
B 0.0000 0.0000 8.3559
B 0.0000 0.0000 12.9659
O 0.0000 -1.3919 8.3890
O -1.2054 0.6959 8.3890
O -1.2054 -0.6959 12.9328
O 1.2054 0.6959 8.3890
O 1.2054 -0.6959 12.9328
O 0.0000 1.3919 12.9328
```

[3]
DFT (PBE) results for a geometry-optimized CsRe2BO8 structure.

Output
SG: R-3m, No. 166
Formation energy without anion corrections (eV per atom): -1.320
N(E_F) (states/eV/f.u.): 6.0
DFT total energy (eV per atom): -7.328

The structure in extended XYZ format:
```
12
Lattice="2.6601 1.5358 9.1208 -2.6601 1.5358 9.1208 0.0000 -3.0716 9.1208" Properties=species:S:1:pos:R:3 pbc="T T T"
Cs 0.0000 0.0000 0.0000
Re 0.0000 0.0000 6.1229
Re 0.0000 0.0000 21.2394
B 0.0000 0.0000 13.6811
O -1.1731 -0.6773 12.6748
O 0.0000 0.0000 7.9031
O 0.0000 -1.3546 14.6875
O -1.1731 0.6773 14.6875
O 1.1731 -0.6773 12.6748
O 0.0000 1.3546 12.6748
O 0.0000 0.0000 19.4592
O 1.1731 0.6773 14.6875
```

[4]
DFT (PBE) results for a geometry-optimized CsBS2O8 structure.

Output
SG: C2/m, No. 12
Formation energy without anion corrections (eV per atom): -1.498
N(E_F) (states/eV/f.u.): 0.0
DFT total energy (eV per atom): -6.119

The structure in extended XYZ format:
```
12
Lattice="3.8697 -3.4304 0.0000 3.8697 3.4304 0.0000 -3.8648 0.0000 8.2221" Properties=species:S:1:pos:R:3 pbc="T T T"
Cs 0.0000 0.0000 0.0000
B 1.9373 0.0000 4.1110
S -0.1193 0.0000 6.1320
S 3.9940 0.0000 2.0901
O -0.8637 1.2304 6.0190
O 0.7267 0.0000 4.4904
O -0.8637 -1.2304 6.0190
O 2.8657 0.0000 1.1853
O 1.0090 0.0000 7.0368
O 4.7384 1.2304 2.2031
O 3.1480 0.0000 3.7317
O 4.7384 -1.2304 2.2031
```

[5]
DFT (PBE) results for a geometry-optimized Cs2B2SbO6 structure.

Output
SG: C2/m, No. 12
Formation energy without anion corrections (eV per atom): -1.904
N(E_F) (states/eV/f.u.): 1.4
DFT total energy (eV per atom): -6.352

The structure in extended XYZ format:
```
11
Lattice="4.6590 -2.6897 0.0000 4.6590 2.6897 0.0000 -3.0845 0.0000 7.6670" Properties=species:S:1:pos:R:3 pbc="T T T"
Cs 1.5527 0.0000 1.1786
Cs 4.6807 0.0000 6.4883
B 1.5729 0.0000 5.0464
B 4.6605 0.0000 2.6206
Sb -1.5423 0.0000 3.8335
O 0.1805 0.0000 5.1265
O 2.2729 1.2069 5.1443
O 3.9605 1.2069 2.5226
O 2.2729 -1.2069 5.1443
O 3.9605 -1.2069 2.5226
O 6.0529 0.0000 2.5404
```

[6]
DFT (PBE) results for a geometry-optimized Cs2ScB2O6 structure.

Output
SG: R-3m, No. 166
Formation energy without anion corrections (eV per atom): -2.387
N(E_F) (states/eV/f.u.): 4.8
DFT total energy (eV per atom): -7.037

The structure in extended XYZ format:
```
11
Lattice="2.7189 1.5698 7.2548 -2.7189 1.5698 7.2548 0.0000 -3.1395 7.2548" Properties=species:S:1:pos:R:3 pbc="T T T"
Cs 0.0000 0.0000 4.7336
Cs 0.0000 0.0000 17.0309
Sc 0.0000 0.0000 0.0000
B 0.0000 0.0000 8.4278
B 0.0000 0.0000 13.3367
O 0.0000 -1.3819 8.4639
O -1.1968 0.6909 8.4639
O -1.1968 -0.6909 13.3006
O 1.1968 0.6910 8.4639
O 1.1968 -0.6910 13.3006
O 0.0000 1.3819 13.3006
```

[7]
DFT (PBE) results for a geometry-optimized Cs2ScBO4 structure.

Output
SG: Fddd, No. 70
Formation energy without anion corrections (eV per atom): -2.260
N(E_F) (states/eV/f.u.): 0.0
DFT total energy (eV per atom): -6.579

The structure in extended XYZ format:
```
16
Lattice="0.0000 6.0657 11.5341 2.4191 0.0000 11.5341 2.4191 6.0657 0.0000" Properties=species:S:1:pos:R:3 pbc="T T T"
Cs 1.8143 4.5492 1.1466
Cs 3.0239 7.5821 6.9137
Cs 1.8143 4.5492 16.1546
Cs 3.0239 7.5821 21.9217
Sc 0.6048 1.5164 2.8835
Sc 4.2335 10.6149 20.1847
B 1.8143 4.5492 8.6506
B 3.0239 7.5821 14.4177
O 2.7076 3.6602 7.7826
O 2.7076 5.4383 9.5186
O 3.9171 6.6930 15.2857
O 3.9171 8.4711 13.5497
O 0.9211 3.6602 9.5186
O 0.9211 5.4383 7.7826
O 2.1307 6.6930 13.5497
O 2.1307 8.4711 15.2857
```

[8]
DFT (PBE) results for a geometry-optimized CsBSe2O8 structure.

Output
SG: C2/m, No. 12
Formation energy without anion corrections (eV per atom): -0.856
N(E_F) (states/eV/f.u.): 0.0
DFT total energy (eV per atom): -5.370

The structure in extended XYZ format:
```
12
Lattice="5.9001 -2.4594 0.0000 5.9001 2.4594 0.0000 -4.0552 0.0000 7.1973" Properties=species:S:1:pos:R:3 pbc="T T T"
Cs 0.0000 0.0000 0.0000
B 3.8725 0.0000 3.5987
Se -0.5578 0.0000 4.5037
Se 8.3028 0.0000 2.6937
O 0.2114 0.0000 3.0657
O 3.4561 1.0636 2.5129
O 0.3141 0.0000 5.8822
O 4.2889 1.0636 4.6845
O 3.4561 -1.0636 2.5129
O 7.4309 0.0000 1.3152
O 4.2889 -1.0636 4.6845
O 7.5335 0.0000 4.1317
```

[9]
DFT (PBE) results for a geometry-optimized Cs2SmBO4 structure.

Output
SG: Fddd, No. 70
Formation energy without anion corrections (eV per atom): -2.040
N(E_F) (states/eV/f.u.): 0.0
DFT total energy (eV per atom): -6.157

The structure in extended XYZ format:
```
16
Lattice="0.0000 5.9952 12.3221 2.6270 0.0000 12.3221 2.6270 5.9952 0.0000" Properties=species:S:1:pos:R:3 pbc="T T T"
Cs 1.9702 4.4964 1.3302
Cs 3.2837 7.4940 7.4913
Cs 1.9702 4.4964 17.1529
Cs 3.2837 7.4940 23.3139
Sm 0.6567 1.4988 3.0805
Sm 4.5972 10.4916 21.5636
B 1.9702 4.4964 9.2416
B 3.2837 7.4940 15.4026
O 2.8296 3.5792 8.3569
O 2.8296 5.4136 10.1263
O 4.1431 6.5768 16.2873
O 1.1108 3.5792 10.1263
O 4.1431 8.4112 14.5179
O 1.1108 5.4136 8.3569
O 2.4243 6.5768 14.5179
O 2.4243 8.4112 16.2873
```

[10]
DFT (PBE) results for a geometry-optimized CsSr2B2O6 structure.

Output
SG: P-1, No. 2
Formation energy without anion corrections (eV per atom): -2.436
N(E_F) (states/eV/f.u.): 4.9
DFT total energy (eV per atom): -6.738

The structure in extended XYZ format:
```
11
Lattice="6.2404 0.0000 0.0000 2.9105 5.5484 0.0000 2.2517 1.3764 5.9255" Properties=species:S:1:pos:R:3 pbc="T T T"
Cs 0.0000 0.0000 0.0000
Sr 3.6224 2.2003 1.7774
Sr 7.7801 4.7244 4.1481
B 4.8314 2.9263 4.4100
B 6.5711 3.9984 1.5156
O 3.6956 3.6156 4.0218
O 5.8243 3.5252 5.1463
O 4.9120 1.6019 4.0162
O 6.4905 5.3228 1.9093
O 5.5782 3.3995 0.7792
O 7.7069 3.3091 1.9037
```

[11]
DFT (PBE) results for a geometry-optimized CsB2TeO8 structure.

Output
SG: C2/m, No. 12
Formation energy without anion corrections (eV per atom): -1.274
N(E_F) (states/eV/f.u.): 6.4
DFT total energy (eV per atom): -6.025

The structure in extended XYZ format:
```
12
Lattice="3.9147 -2.5686 0.0000 3.9147 2.5686 0.0000 -0.8576 0.0000 8.6807" Properties=species:S:1:pos:R:3 pbc="T T T"
Cs 0.0000 0.0000 0.0000
B 2.4229 0.0000 5.7471
B 4.5490 0.0000 2.9336
Te -0.4288 0.0000 4.3403
O 1.4984 0.0000 4.6070
O 3.2800 1.2167 5.7511
O 3.6918 1.2167 2.9296
O 1.8466 0.0000 7.0603
O 5.1252 0.0000 1.6204
O 3.2800 -1.2167 5.7511
O 3.6918 -1.2167 2.9296
O 5.4734 0.0000 4.0737
```

[12]
DFT (PBE) results for a geometry-optimized Cs2ThB2O6 structure.

Output
SG: R-3m, No. 166
Formation energy without anion corrections (eV per atom): -2.689
N(E_F) (states/eV/f.u.): 0.0
DFT total energy (eV per atom): -7.437

The structure in extended XYZ format:
```
11
Lattice="2.8461 1.6432 7.1307 -2.8461 1.6432 7.1307 0.0000 -3.2864 7.1307" Properties=species:S:1:pos:R:3 pbc="T T T"
Cs 0.0000 0.0000 4.5674
Cs 0.0000 0.0000 16.8246
Th 0.0000 0.0000 0.0000
B 0.0000 0.0000 8.4754
B 0.0000 0.0000 12.9167
O 0.0000 -1.3938 8.4825
O -1.2071 0.6969 8.4825
O -1.2071 -0.6969 12.9095
O 1.2071 0.6969 8.4825
O 1.2071 -0.6969 12.9095
O 0.0000 1.3938 12.9095
```